DFT (PBE-GGA) results for an optimized crystal structure of Dy5HoEr2.

Computed properties:
raw total energy: -73.17 eV/cell
D(E_F): 1.11 states/eV per atom
energy of formation: 0.02 eV per atom
total magnetic moment: 0.0 μB/cell

The structure in POSCAR format:
```
Dy5HoEr2
1.0
-1.7965 2.7883 -3.7101
-3.0152 -5.7065 -2.8286
-11.6782 2.4537 7.4988
Er Dy Ho
4 10 2
direct
0.5000 0.2501 0.6250
0.5000 0.7501 0.8750
0.5000 0.7499 0.3750
0.5000 0.2499 0.1250
0.5000 0.7498 0.1250
0.0000 0.0000 0.0000
0.5000 0.2502 0.8750
0.0000 0.5000 0.5000
0.0000 0.9998 0.2501
0.5000 0.2498 0.3750
0.5000 0.7502 0.6250
0.0000 0.0002 0.7499
0.0000 0.5002 0.7501
0.0000 0.4998 0.2499
0.0000 0.0000 0.5000
0.0000 0.5000 0.0000
```

---

DFT (PBE-GGA) results for an optimized crystal structure of Dy2Ho2Er5.

Computed properties:
raw total energy: -78.21 eV/cell
D(E_F): 1.68 states/eV per atom
energy of formation: 0.23 eV per atom
total magnetic moment: 0.0 μB/cell

The structure in POSCAR format:
```
Dy2Ho2Er5
1.0
11.5701 0.0000 0.0000
0.0000 6.6470 0.0000
-5.7851 -3.3235 7.3716
Dy Ho Er
4 4 10
direct
0.7358 0.8613 0.5000
0.5000 0.5072 0.0000
0.2642 0.3613 0.5000
0.0000 0.0072 0.0000
0.8793 0.4309 0.7452
0.6341 0.1857 0.2548
0.3659 0.9309 0.7452
0.1207 0.6857 0.2548
0.8097 0.2621 0.1054
0.3816 0.0330 0.2852
0.9935 0.6511 0.5000
0.5964 0.2478 0.7148
0.0065 0.1511 0.5000
0.1903 0.1568 0.8946
0.6184 0.7478 0.7148
0.4036 0.5330 0.2852
0.2043 0.6568 0.8946
0.7957 0.7621 0.1054
```

---

DFT (PBE-GGA) results for an optimized crystal structure of Dy2Ho2Er15.

Computed properties:
raw total energy: -81.23 eV/cell
D(E_F): 1.75 states/eV per atom
energy of formation: 0.29 eV per atom
total magnetic moment: 0.0 μB/cell

The structure in POSCAR format:
```
Dy2Ho2Er15
1.0
8.3011 -0.5602 2.2519
1.5760 8.1693 2.2519
-0.7271 -0.5602 8.5703
Ho Er Dy
2 15 2
direct
0.0977 0.0977 0.0977
0.9023 0.9023 0.9023
0.3000 0.0000 0.7000
0.1483 0.6302 0.6302
0.0000 0.0000 0.5000
0.0000 0.5000 0.0000
0.0000 0.7000 0.3000
0.3698 0.8517 0.3698
0.6302 0.1483 0.6302
0.0000 0.3000 0.7000
0.3698 0.3698 0.8517
0.5000 0.0000 0.0000
0.6302 0.6302 0.1483
0.3000 0.7000 0.0000
0.7000 0.0000 0.3000
0.7000 0.3000 0.0000
0.8517 0.3698 0.3698
0.3231 0.3231 0.3231
0.6769 0.6769 0.6769
```

---

DFT (PBE-GGA) results for an optimized crystal structure of Dy7Ho4Er.

Computed properties:
raw total energy: -51.56 eV/cell
D(E_F): 1.64 states/eV per atom
energy of formation: 0.29 eV per atom
total magnetic moment: 0.0 μB/cell

The structure in POSCAR format:
```
Dy7Ho4Er
1.0
-1.1856 -0.7549 -5.6663
9.8515 -3.6361 -4.5844
-2.1830 -6.0240 -1.7481
Ho Dy Er
4 7 1
direct
0.2412 0.3205 0.1972
0.3616 0.7754 0.5014
0.6384 0.2246 0.4986
0.7588 0.6795 0.8028
0.9374 0.3187 0.8065
0.2118 0.0762 0.5002
0.0626 0.6813 0.1935
0.5000 0.0000 0.0000
0.7882 0.9238 0.4998
0.3672 0.4998 0.7657
0.6328 0.5002 0.2343
0.0000 0.0000 0.0000
```